Entry 1:
RbZrPt3: optimized geometry, GGA-PBE.

Values from the calculation:
**ΔE to the lowest computed polymorph**: 1645.9 meV/atom
**Formation enthalpy at 0 K**: 1909 meV per atom
**N(E_F)**: 1.275 states/eV per atom
**DFT total energy**: -3.6191 eV per atom

abc: 4.9743 4.9743 4.9743
angles: 90.00 90.00 90.00
Positions (direct):
Rb 0.0000 0.0000 0.0000
Zr 0.5000 0.5000 0.5000
Pt 0.0000 0.0000 0.5000
Pt 0.0000 0.5000 0.0000
Pt 0.5000 0.0000 0.0000

=====

Entry 2:
RbZrPt2: optimized geometry, GGA-PBE.

Values from the calculation:
**ΔE to the lowest computed polymorph**: 0.0 meV/atom
**Formation enthalpy at 0 K**: 10 meV per atom
**N(E_F)**: 0.869 states/eV per atom
**DFT total energy**: -5.3894 eV per atom

abc: 6.7237 6.7237 6.7237
angles: 109.12 109.12 110.18
Positions (direct):
Rb 0.0000 0.0000 0.0000
Rb 0.7500 0.2500 0.5000
Zr 0.2500 0.7500 0.5000
Zr 0.5000 0.5000 0.0000
Pt 0.1975 0.6250 0.0725
Pt 0.3750 0.4475 0.5725
Pt 0.5525 0.1250 0.9275
Pt 0.8750 0.8025 0.4275

=====

Entry 3:
RbZrPt2: optimized geometry, GGA-PBE.

Values from the calculation:
**ΔE to the lowest computed polymorph**: 68.6 meV/atom
**Formation enthalpy at 0 K**: 79 meV per atom
**N(E_F)**: 0.636 states/eV per atom
**DFT total energy**: -5.3207 eV per atom

abc: 4.9546 4.9546 4.9546
angles: 60.00 60.00 60.00
Positions (direct):
Rb 0.0000 0.0000 0.0000
Zr 0.5000 0.5000 0.5000
Pt 0.2500 0.2500 0.2500
Pt 0.7500 0.7500 0.7500

=====

Entry 4:
RbZrPt3: optimized geometry, GGA-PBE.

Values from the calculation:
**ΔE to the lowest computed polymorph**: 0.0 meV/atom
**Formation enthalpy at 0 K**: 263 meV per atom
**N(E_F)**: 0.710 states/eV per atom
**DFT total energy**: -5.2649 eV per atom

abc: 5.1479 5.1479 5.1479
angles: 90.00 90.00 90.00
Positions (direct):
Rb 0.0000 0.0000 0.0000
Zr 0.5000 0.5000 0.5000
Pt 0.0000 0.5000 0.5000
Pt 0.5000 0.0000 0.5000
Pt 0.5000 0.5000 0.0000

=====

Entry 5:
RbZr2Pt2: optimized geometry, GGA-PBE.

Values from the calculation:
**Formation enthalpy at 0 K**: -329 meV per atom
**N(E_F)**: 0.971 states/eV per atom
**DFT total energy**: -6.3581 eV per atom

abc: 8.7055 8.7055 2.9430
angles: 90.00 90.00 90.00
Positions (direct):
Rb 0.0000 0.0000 0.0000
Rb 0.5000 0.5000 0.0000
Zr 0.1248 0.3752 0.5000
Zr 0.3752 0.8752 0.5000
Zr 0.6248 0.1248 0.5000
Zr 0.8752 0.6248 0.5000
Pt 0.1644 0.6644 0.0000
Pt 0.3356 0.1644 0.0000
Pt 0.6644 0.8356 0.0000
Pt 0.8356 0.3356 0.0000

=====

Entry 6:
RePt: optimized geometry, GGA-PBE.

Values from the calculation:
**ΔE to the lowest computed polymorph**: 157.0 meV/atom
**Formation enthalpy at 0 K**: 31 meV per atom
**N(E_F)**: 0.740 states/eV per atom
**DFT total energy**: -9.2130 eV per atom

abc: 9.6636 9.6636 2.7375
angles: 90.00 90.00 90.00
Positions (direct):
Re 0.0513 0.3559 0.0000
Re 0.1698 0.5697 0.5000
Re 0.3559 0.9487 0.0000
Re 0.4303 0.1698 0.5000
Re 0.5697 0.8302 0.5000
Re 0.6441 0.0513 0.0000
Re 0.8302 0.4303 0.5000
Re 0.9487 0.6441 0.0000
Pt 0.1300 0.8438 0.5000
Pt 0.1562 0.1300 0.5000
Pt 0.3364 0.3895 0.0000
Pt 0.3895 0.6636 0.0000
Pt 0.6105 0.3364 0.0000
Pt 0.6636 0.6105 0.0000
Pt 0.8438 0.8700 0.5000
Pt 0.8700 0.1562 0.5000